No. 1
The following is a DFT calculation (GGA-PBE) of an optimized crystal structure of Ba2TmScO5.

The structure in CIF format:
```
data_Ba2TmScO5
_chemical_formula_sum 'Ba8 Tm4 Sc4 O20'
_cell_length_a 3.603
_cell_length_b 14.000
_cell_length_c 12.160
_cell_angle_alpha 90.00
_cell_angle_beta 90.00
_cell_angle_gamma 90.00
_symmetry_space_group_name_H-M 'C m c 21'
_symmetry_Int_Tables_number 36
loop_
_symmetry_equiv_pos_as_xyz
'x,y,z'
'-x,-y,z+1/2'
'-x,y,z'
'x,-y,z+1/2'
'x+1/2,y+1/2,z'
'-x+1/2,-y+1/2,z+1/2'
'-x+1/2,y+1/2,z'
'x+1/2,-y+1/2,z+1/2'
loop_
_atom_site_label
_atom_site_type_symbol
_atom_site_fract_x
_atom_site_fract_y
_atom_site_fract_z
_atom_site_occupancy
Ba1 Ba 0.000 0.092 0.000 1
Ba2 Ba 0.000 0.152 0.631 1
Tm1 Tm 0.000 0.216 0.351 1
Sc1 Sc 0.000 0.472 0.776 1
O1 O 0.000 0.052 0.351 1
O2 O 0.000 0.276 0.973 1
O3 O 0.000 0.317 0.741 1
O4 O 0.000 0.374 0.322 1
O5 O 0.000 0.492 0.119 1
```

Output
formation energy without anion corrections	-2689	kJ/mol of formula units
VASP energy	-269.22	eV for the cell shown
theoretical density	6.2	g/cm3
volume	613.30	Å³/cell
D(E_F)	0.000	states/eV per atom


No. 2
The following is a DFT calculation (GGA-PBE) of an optimized crystal structure of CsNaGeI4.

The structure in CIF format:
```
data_CsNaGeI4
_chemical_formula_sum 'Cs2 Na2 Ge2 I8'
_cell_length_a 6.357
_cell_length_b 8.548
_cell_length_c 12.396
_cell_angle_alpha 90.00
_cell_angle_beta 102.49
_cell_angle_gamma 90.00
_symmetry_space_group_name_H-M 'P 1 21/m 1'
_symmetry_Int_Tables_number 11
loop_
_symmetry_equiv_pos_as_xyz
'x,y,z'
'-x,-y,-z'
'-x,y+1/2,-z'
'x,-y+1/2,z'
loop_
_atom_site_label
_atom_site_type_symbol
_atom_site_fract_x
_atom_site_fract_y
_atom_site_fract_z
_atom_site_occupancy
Cs1 Cs 0.190 0.250 0.380 1
Na1 Na 0.403 0.250 0.010 1
Ge1 Ge 0.232 0.750 0.199 1
I1 I 0.068 0.750 0.948 1
I2 I 0.235 0.750 0.440 1
I3 I 0.463 0.018 0.797 1
```

Output
formation energy without anion corrections	-605	kJ/mol of formula units
VASP energy	-38.53	eV for the cell shown
theoretical density	3.7	g/cm3
volume	657.64	Å³/cell
D(E_F)	0.000	states/eV per atom